Run one
Computed, not measured: a relaxed structure of DyZrNO at the GGA-PBE level of DFT.

Lattice parameters (Å, degrees): 4.664 4.664 4.772 90.00 90.00 90.00
Space group P4/nmm (No. 129, origin choice 2)
One atom of each set of equivalent atoms:
Dy1 0.250 0.250 0.001 (multiplicity 2)
Zr1 0.250 0.750 0.500 (multiplicity 2)
N1 0.250 0.250 0.502 (multiplicity 2)
O1 0.250 0.750 0.000 (multiplicity 2)

=====

Run two
Computed, not measured: a relaxed structure of DyZrNO at the GGA-PBE level of DFT.

Lattice parameters (Å, degrees): 3.976 3.976 7.452 90.00 90.00 90.00
Space group P4/nmm (No. 129, origin choice 2)
One atom of each set of equivalent atoms:
Dy1 0.250 0.750 0.000 (multiplicity 2)
Zr1 0.250 0.250 0.376 (multiplicity 2)
N1 0.250 0.250 0.821 (multiplicity 2)
O1 0.250 0.750 0.500 (multiplicity 2)

=====

Run three
Computed, not measured: a relaxed structure of DyZrNO at the GGA-PBE level of DFT.

Lattice parameters (Å, degrees): 4.687 3.860 6.725 90.00 90.00 90.00
Space group Pmma (No. 51)
One atom of each set of equivalent atoms:
Dy1 0.250 0.000 0.163 (multiplicity 2)
Zr1 0.250 0.500 0.663 (multiplicity 2)
N1 0.250 0.500 0.350 (multiplicity 2)
O1 0.250 0.000 0.813 (multiplicity 2)

=====

Winner for stability: run one

=====

Run one
Computed, not measured: a relaxed structure of Dy4Te3N2 at the GGA-PBE level of DFT.

Lattice parameters (Å, degrees): 13.978 4.074 10.603 90.00 128.91 90.00
Space group C2/m (No. 12)
One atom of each set of equivalent atoms:
Dy1 0.127 0.000 0.373 (multiplicity 4)
Dy2 0.211 0.500 0.162 (multiplicity 4)
Te1 0.000 0.000 0.000 (multiplicity 2)
Te2 0.100 0.500 0.760 (multiplicity 4)
N1 0.211 0.500 0.366 (multiplicity 4)

=====

Run two
Computed, not measured: a relaxed structure of Dy4Te3N2 at the GGA-PBE level of DFT.

Lattice parameters (Å, degrees): 7.269 11.699 12.999 90.00 122.36 90.00
Space group P2_1/c (No. 14)
One atom of each set of equivalent atoms:
Dy1 0.062 0.157 0.389 (multiplicity 4)
Dy2 0.136 0.101 0.166 (multiplicity 4)
Dy3 0.225 0.643 0.864 (multiplicity 4)
Dy4 0.295 0.086 0.816 (multiplicity 4)
Te1 0.222 0.655 0.600 (multiplicity 4)
Te2 0.359 0.515 0.106 (multiplicity 4)
Te3 0.444 0.163 0.074 (multiplicity 4)
N1 0.019 0.009 0.271 (multiplicity 4)
N2 0.087 0.242 0.747 (multiplicity 4)

=====

Winner for stability: run two